# 1
First-principles (PBE-GGA) data for a relaxed structure of ZnGe2Pd, as listed in OQMD via LeMat-Bulk.

Unit cell a=6.449 b=6.449 c=6.449 alpha=90.00 beta=90.00 gamma=90.00
Space group F-43m (No. 216)
One atom of each set of equivalent atoms:
Zn: 0.000 0.000 0.000 x4
Ge: 0.000 0.000 0.500 x4
Ge: 0.250 0.250 0.250 x4
Pd: 0.250 0.250 0.750 x4

Total DFT energy (no corrections) ... -62.33 eV per cell


# 2
First-principles (PBE-GGA) data for a relaxed structure of ScCdAs2, as listed in OQMD via LeMat-Bulk.

Unit cell a=6.904 b=6.904 c=6.904 alpha=90.00 beta=90.00 gamma=90.00
Space group F-43m (No. 216)
One atom of each set of equivalent atoms:
Sc: 0.000 0.000 0.000 x4
Cd: 0.250 0.250 0.250 x4
As: 0.000 0.000 0.500 x4
As: 0.250 0.250 0.750 x4

Total DFT energy (no corrections) ... -67.27 eV per cell


# 3
First-principles (PBE-GGA) data for a relaxed structure of K2HfOsO6, as listed in OQMD via LeMat-Bulk.

Unit cell a=5.644 b=5.646 c=7.987 alpha=90.01 beta=90.00 gamma=90.01
Space group P-1 (No. 2)
One atom of each set of equivalent atoms:
K: 0.000 0.000 0.250 x2
K: 0.500 0.500 0.250 x2
Hf: 0.000 0.500 0.000 x1
Hf: 0.500 0.000 0.500 x1
Os: 0.000 0.500 0.500 x1
Os: 0.500 0.000 0.000 x1
O: 0.001 0.500 0.259 x2
O: 0.237 0.256 0.500 x2
O: 0.245 0.738 0.501 x2
O: 0.257 0.761 0.999 x2
O: 0.261 0.243 0.000 x2
O: 0.499 0.000 0.241 x2

Distance to the lowest polymorph of the same formula ... 0 meV per atom


# 4
First-principles (PBE-GGA) data for a relaxed structure of ZnSiSb, as listed in OQMD via LeMat-Bulk.

Unit cell a=6.486 b=6.486 c=6.486 alpha=90.00 beta=90.00 gamma=90.00
Space group F-43m (No. 216)
One atom of each set of equivalent atoms:
Zn: 0.000 0.000 0.000 x4
Si: 0.250 0.250 0.750 x4
Sb: 0.000 0.000 0.500 x4

Distance to the lowest polymorph of the same formula ... 0 meV per atom


Number 1: theoretical density 7851 kg/m³. Number 2: theoretical density 6200 kg/m³. Number 3: theoretical density 7086 kg/m³. Number 4: theoretical density 5239 kg/m³.